No. 1
First-principles (PBE-GGA) data for a relaxed Mg2CuPd5Au crystal, as listed in the Alexandria database.

Cell and atoms, written as POSCAR:
```
Mg2CuPd5Au
1.0
-3.217 3.217 7.360
3.217 -3.217 7.360
3.217 3.217 -7.360
Mg Cu Pd Au
4 2 10 2
direct
0.140 0.640 0.779
0.360 0.140 0.500
0.640 0.860 0.500
0.860 0.360 0.221
0.250 0.250 0.000
0.750 0.750 0.000
0.000 0.000 0.000
0.089 0.117 0.500
0.117 0.617 0.028
0.383 0.411 0.500
0.411 0.911 0.028
0.500 0.500 0.000
0.589 0.089 0.972
0.617 0.589 0.500
0.883 0.383 0.972
0.911 0.883 0.500
0.250 0.750 0.500
0.750 0.250 0.500
```

## Properties
ρ = 9.2 g cm⁻³
DFT formation energy = -0.0390 eV per atom
E_tot = -0.301 Ry per atom
DOS(E_F) = 2.48 states/eV/f.u.
symmetry = No. 140

No. 2
First-principles (PBE-GGA) data for a relaxed N crystal, as listed in the Alexandria database.

Cell and atoms, written as POSCAR:
```
N
1.0
1.860 0.000 0.000
0.000 1.860 0.000
0.000 0.000 1.860
N
1
direct
0.000 0.000 0.000
```

## Properties
ρ = 3.6 g cm⁻³
E_form (uncorrected) = 3.20 eV/atom
E_tot = -0.377 Ry per atom
DOS(E_F) = 0.11 states/eV/f.u.
symmetry = No. 221

No. 3
First-principles (PBE-GGA) data for a relaxed SmZn7Au12 crystal, as listed in the Alexandria database.

Cell and atoms, written as POSCAR:
```
SmZn7Au12
1.0
-4.783 4.783 4.783
4.783 -4.783 4.783
4.783 4.783 -4.783
Sm Zn Au
1 7 12
direct
0.000 0.000 0.000
0.000 0.000 0.500
0.000 0.500 0.000
0.000 0.500 0.500
0.500 0.000 0.000
0.500 0.000 0.500
0.500 0.500 0.000
0.500 0.500 0.500
0.125 0.844 0.281
0.156 0.281 0.437
0.156 0.719 0.875
0.281 0.125 0.844
0.281 0.437 0.156
0.437 0.156 0.281
0.563 0.844 0.719
0.719 0.563 0.844
0.719 0.875 0.156
0.844 0.281 0.125
0.844 0.719 0.563
0.875 0.156 0.719
```

## Properties
ρ = 11.3 g cm⁻³
DFT formation energy = -0.0356 eV per atom
E_tot = -0.197 Ry per atom
DOS(E_F) = 6.80 states/eV/f.u.
symmetry = No. 204